1.
Dy2PPd2Pt4 | GGA-PBE | optimized geometry

extended XYZ file:
```
9
Lattice="-3.069 3.069 4.284 3.069 -3.069 4.284 3.069 3.069 -4.284" Properties=species:S:1:pos:R:3 pbc="T T T"
Dy 3.069 0.000 2.142
Dy 0.000 3.069 2.142
P 0.000 0.000 0.000
Pd 0.000 0.000 2.312
Pd 0.000 0.000 6.256
Pt 1.629 1.629 0.000
Pt 1.440 -1.440 4.284
Pt -1.440 1.440 4.284
Pt 1.440 1.440 4.284
```

Formation energy from the elements: -0.9436 eV per atom
Space-group type: No. 139
Density: 13.88 g cm⁻³
Total moment: 0.00 μB per atom

2.
GdHo2Au | GGA-PBE | optimized geometry

extended XYZ file:
```
4
Lattice="1.832 1.058 10.016 -1.832 1.058 10.016 0.000 -2.115 10.016" Properties=species:S:1:pos:R:3 pbc="T T T"
Gd 0.000 0.000 0.000
Ho 0.000 0.000 7.094
Ho 0.000 0.000 22.954
Au 0.000 0.000 15.024
```

Formation energy from the elements: -0.2751 eV per atom
Offset from the most stable computed form: 125 meV/atom
Space-group type: No. 166
Density: 9.76 g cm⁻³
Total moment: 1.88 μB per atom

3.
SrLiScAg | GGA-PBE | optimized geometry

extended XYZ file:
```
4
Lattice="0.000 3.715 3.715 3.715 0.000 3.715 3.715 3.715 0.000" Properties=species:S:1:pos:R:3 pbc="T T T"
Sr 0.000 0.000 0.000
Li 5.572 5.572 5.572
Sc 3.715 3.715 3.715
Ag 1.857 1.857 1.857
```

Formation energy from the elements: 0.0434 eV per atom
Space-group type: No. 216
Density: 4.01 g cm⁻³
Total moment: 0.00 μB per atom

4.
YBe2Zn | GGA-PBE | optimized geometry

extended XYZ file:
```
4
Lattice="4.290 0.000 0.000 0.000 4.290 0.000 0.000 0.000 3.592" Properties=species:S:1:pos:R:3 pbc="T T T"
Y 0.000 0.000 0.000
Be 0.000 2.145 1.796
Be 2.145 0.000 1.796
Zn 2.145 2.145 0.000
```

Formation energy from the elements: 0.2630 eV per atom
Space-group type: No. 123
Density: 4.33 g cm⁻³
Total moment: 0.00 μB per atom

5.
Ag5PdAu | GGA-PBE | optimized geometry

extended XYZ file:
```
14
Lattice="4.920 -2.680 0.000 4.920 2.680 0.000 -1.579 0.000 9.906" Properties=species:S:1:pos:R:3 pbc="T T T"
Ag 0.553 0.080 5.324
Ag 1.343 -0.080 0.371
Ag 3.736 1.417 7.430
Ag 1.310 0.085 7.995
Ag 2.099 -0.085 3.042
Ag 6.162 0.085 6.864
Ag 6.952 -0.085 1.911
Ag 4.525 -1.417 2.477
Ag 6.919 0.080 9.535
Ag 7.708 -0.080 4.582
Pd 4.525 1.301 2.477
Pd 3.736 -1.301 7.430
Au 4.920 0.000 0.000
Au 4.131 0.000 4.953
```

Formation energy from the elements: 0.0794 eV per atom
Offset from the most stable computed form: 0 meV/atom
Space-group type: No. 15
Density: 10.72 g cm⁻³
Total moment: 0.00 μB per atom

6.
CsRb2AgPd | GGA-PBE | optimized geometry

extended XYZ file:
```
5
Lattice="6.425 0.000 0.000 0.000 6.425 0.000 0.000 0.000 5.554" Properties=species:S:1:pos:R:3 pbc="T T T"
Cs 0.000 0.000 0.000
Rb 0.000 3.212 2.777
Rb 3.212 0.000 2.777
Ag 3.212 3.212 0.000
Pd 3.212 3.212 2.777
```

Formation energy from the elements: 0.1382 eV per atom
Offset from the most stable computed form: 0 meV/atom
Space-group type: No. 123
Density: 3.75 g cm⁻³
Total moment: 0.00 μB per atom

7.
CoSeI2N | GGA-PBE | optimized geometry

extended XYZ file:
```
5
Lattice="5.474 0.000 0.000 0.000 5.474 0.000 0.000 0.000 3.486" Properties=species:S:1:pos:R:3 pbc="T T T"
Co 0.000 0.000 0.000
Se 2.737 2.737 1.743
I 0.000 2.737 0.000
I 2.737 0.000 0.000
N 0.000 0.000 1.743
```

Formation energy without anion corrections: 0.64 eV per atom
Offset from the most stable computed form: 0 meV/atom
Space-group type: No. 123
Density: 6.45 g cm⁻³
Total moment: 0.00 μB per atom

8.
BeZnSe2 | GGA-PBE | optimized geometry

extended XYZ file:
```
8
Lattice="1.922 -14.106 0.000 1.922 14.106 0.000 0.000 0.000 3.685" Properties=species:S:1:pos:R:3 pbc="T T T"
Be 1.922 13.539 2.763
Be 1.922 -13.539 0.921
Zn 1.922 6.052 2.763
Zn 1.922 -6.052 0.921
Se 1.922 12.477 0.921
Se 1.922 8.561 2.763
Se 1.922 -8.561 0.921
Se 1.922 -12.477 2.763
```

Formation energy without anion corrections: -0.39 eV per atom
Offset from the most stable computed form: 356 meV/atom
Space-group type: No. 63
Density: 3.86 g cm⁻³
Total moment: 0.00 μB per atom

9.
CaY | GGA-PBE | optimized geometry

extended XYZ file:
```
4
Lattice="3.699 0.000 0.000 -1.850 3.203 0.000 0.000 0.000 12.318" Properties=species:S:1:pos:R:3 pbc="T T T"
Ca 0.000 0.000 0.000
Ca 0.000 2.136 8.996
Y 0.000 2.136 3.145
Y 1.850 1.068 5.909
```

Formation energy from the elements: 0.0551 eV per atom
Offset from the most stable computed form: 7 meV/atom
Space-group type: No. 156
Density: 2.93 g cm⁻³
Total moment: 0.11 μB per atom

10.
CaSmPd | GGA-PBE | optimized geometry

extended XYZ file:
```
3
Lattice="4.071 0.000 0.000 -2.035 3.525 0.000 0.000 0.000 6.704" Properties=species:S:1:pos:R:3 pbc="T T T"
Ca 0.000 0.000 0.000
Sm 2.035 1.175 3.320
Pd 0.000 2.350 1.753
```

Formation energy from the elements: -0.4018 eV per atom
Offset from the most stable computed form: 130 meV/atom
Space-group type: No. 156
Density: 5.12 g cm⁻³
Total moment: 0.00 μB per atom

11.
KScCrBr6 | GGA-PBE | optimized geometry

extended XYZ file:
```
18
Lattice="6.922 0.000 0.000 -3.461 5.995 0.000 0.000 0.000 14.728" Properties=species:S:1:pos:R:3 pbc="T T T"
K 0.000 0.000 0.000
K 0.000 0.000 7.364
Sc 0.000 3.996 3.682
Sc 3.461 1.998 11.046
Cr 0.000 3.996 11.046
Cr 3.461 1.998 3.682
Br -1.283 2.231 9.514
Br -2.171 3.768 12.579
Br 1.283 2.231 12.579
Br -0.888 5.990 9.514
Br 2.573 0.004 2.150
Br 1.290 2.226 5.215
Br 2.171 3.768 9.514
Br 0.888 5.990 12.579
Br 4.349 0.004 5.215
Br 2.178 3.764 2.150
Br 5.632 2.226 2.150
Br 4.744 3.764 5.215
```

Formation energy without anion corrections: -1.35 eV per atom
Space-group type: No. 163
Density: 3.34 g cm⁻³
Total moment: 0.44 μB per atom

12.
Fe12Re17 | GGA-PBE | optimized geometry

extended XYZ file:
```
29
Lattice="-4.574 4.574 4.574 4.574 -4.574 4.574 4.574 4.574 -4.574" Properties=species:S:1:pos:R:3 pbc="T T T"
Fe 2.506 0.802 -0.802
Fe 2.506 -0.802 0.802
Fe 6.641 0.802 0.802
Fe 0.802 2.506 -0.802
Fe 0.802 -0.802 2.506
Fe -0.802 2.506 0.802
Fe -0.802 0.802 2.506
Fe 3.772 3.772 2.067
Fe 3.772 2.067 3.772
Fe 0.802 6.641 0.802
Fe 0.802 0.802 6.641
Fe 2.067 3.772 3.772
Re 0.000 0.000 0.000
Re 2.934 2.934 -2.934
Re 4.930 1.320 -1.320
Re 2.934 -2.934 2.934
Re 4.930 -1.320 1.320
Re 4.217 1.320 1.320
Re 3.254 3.254 -0.357
Re 3.254 -0.357 3.254
Re 1.640 1.640 1.640
Re 1.320 4.930 -1.320
Re 1.320 -1.320 4.930
Re 1.320 4.217 1.320
Re 1.320 1.320 4.217
Re -2.934 2.934 2.934
Re -1.320 4.930 1.320
Re -1.320 1.320 4.930
Re -0.357 3.254 3.254
```

Formation energy from the elements: 0.0286 eV per atom
Space-group type: No. 217
Density: 16.64 g cm⁻³
Total moment: 0.39 μB per atom

13.
CaNiPN | GGA-PBE | optimized geometry

extended XYZ file:
```
8
Lattice="3.664 0.000 0.000 0.000 3.664 0.000 0.000 0.000 8.178" Properties=species:S:1:pos:R:3 pbc="T T T"
Ca 0.916 0.916 1.227
Ca 2.748 2.748 6.951
Ni 0.916 2.748 4.089
Ni 2.748 0.916 4.089
P 0.916 0.916 5.383
P 2.748 2.748 2.795
N 0.916 0.916 7.030
N 2.748 2.748 1.148
```

Formation energy without anion corrections: -0.96 eV per atom
Space-group type: No. 129
Density: 4.35 g cm⁻³
Total moment: 0.00 μB per atom

14.
Ho4Al3Ga | GGA-PBE | optimized geometry

extended XYZ file:
```
8
Lattice="4.073 0.000 0.000 0.000 4.403 0.000 0.000 0.000 11.023" Properties=species:S:1:pos:R:3 pbc="T T T"
Ho 0.000 0.000 0.000
Ho 0.000 2.201 5.469
Ho 2.037 0.000 7.897
Ho 2.037 2.201 2.414
Al 0.000 2.201 8.626
Al 2.037 0.000 4.729
Al 2.037 2.201 10.290
Ga 0.000 0.000 3.081
```

Formation energy from the elements: -0.4429 eV per atom
Offset from the most stable computed form: 0 meV/atom
Space-group type: No. 25
Density: 6.81 g cm⁻³
Total moment: 0.00 μB per atom

15.
PrSmTlTe | GGA-PBE | optimized geometry

extended XYZ file:
```
4
Lattice="4.506 0.000 0.000 0.000 4.506 0.000 0.000 0.000 6.392" Properties=species:S:1:pos:R:3 pbc="T T T"
Pr 0.000 0.000 0.000
Sm 2.253 2.253 3.196
Tl 2.253 2.253 0.000
Te 0.000 0.000 3.196
```

Formation energy without anion corrections: -0.86 eV per atom
Space-group type: No. 123
Density: 7.97 g cm⁻³
Total moment: 0.00 μB per atom

16.
Ca2PmCd9 | GGA-PBE | optimized geometry

extended XYZ file:
```
12
Lattice="3.000 1.732 9.588 -3.000 1.732 9.588 0.000 -3.464 9.588" Properties=species:S:1:pos:R:3 pbc="T T T"
Ca 0.000 0.000 4.086
Ca 0.000 0.000 24.678
Pm 0.000 0.000 0.000
Cd -1.534 -0.885 12.016
Cd 0.000 0.000 9.638
Cd 0.000 -1.771 16.748
Cd -1.534 0.885 16.748
Cd 0.000 0.000 14.382
Cd 1.534 -0.885 12.016
Cd 0.000 1.771 12.016
Cd 0.000 0.000 19.126
Cd 1.534 0.885 16.748
```

Formation energy from the elements: -0.2441 eV per atom
Space-group type: No. 166
Density: 6.87 g cm⁻³
Total moment: 0.00 μB per atom

17.
CsSmSnTe3 | GGA-PBE | optimized geometry

extended XYZ file:
```
12
Lattice="9.936 0.000 0.000 0.000 4.511 0.000 -4.382 0.000 11.561" Properties=species:S:1:pos:R:3 pbc="T T T"
Cs 1.071 1.128 3.158
Cs 4.483 3.383 8.403
Sm -0.075 3.383 9.779
Sm 5.629 1.128 1.782
Sn -1.185 1.128 6.467
Sn 6.739 3.383 5.094
Te -2.248 1.128 9.136
Te 0.801 3.383 6.697
Te 3.526 3.383 1.233
Te 2.027 1.128 10.328
Te 4.752 1.128 4.864
Te 7.802 3.383 2.424
```

Formation energy without anion corrections: -1.03 eV per atom
Space-group type: No. 11
Density: 5.03 g cm⁻³
Total moment: 0.00 μB per atom

18.
TbSmO3 | GGA-PBE | optimized geometry

extended XYZ file:
```
5
Lattice="6.073 0.000 0.000 -3.037 5.260 0.000 0.000 0.000 3.114" Properties=species:S:1:pos:R:3 pbc="T T T"
Tb 0.000 0.000 0.000
Sm 3.037 1.753 0.000
O 1.495 0.863 1.557
O 4.578 0.863 1.557
O 3.037 3.533 1.557
```

Formation energy without anion corrections: -3.29 eV per atom
Space-group type: No. 187
Density: 5.96 g cm⁻³
Total moment: 0.00 μB per atom

19.
TcNiIr | GGA-PBE | optimized geometry

extended XYZ file:
```
3
Lattice="4.198 0.000 0.000 -2.099 3.635 0.000 0.000 0.000 2.650" Properties=species:S:1:pos:R:3 pbc="T T T"
Tc 0.000 0.000 0.000
Ni 0.000 2.424 1.325
Ir 2.099 1.212 1.325
```

Formation energy from the elements: -0.0150 eV per atom
Offset from the most stable computed form: 123 meV/atom
Space-group type: No. 187
Density: 14.33 g cm⁻³
Total moment: 0.00 μB per atom

20.
ZnCuAu4 | GGA-PBE | optimized geometry

extended XYZ file:
```
6
Lattice="0.000 3.860 3.860 3.860 0.000 3.860 3.860 3.860 0.000" Properties=species:S:1:pos:R:3 pbc="T T T"
Zn 0.000 0.000 0.000
Cu 1.930 1.930 1.930
Au 4.824 2.895 2.895
Au 2.895 4.824 2.895
Au 2.895 2.895 4.824
Au 4.824 4.824 4.824
```

Formation energy from the elements: 0.2019 eV per atom
Offset from the most stable computed form: 178 meV/atom
Space-group type: No. 216
Density: 13.24 g cm⁻³
Total moment: 0.00 μB per atom

21.
CsScB2H | GGA-PBE | optimized geometry

extended XYZ file:
```
5
Lattice="4.158 0.000 0.000 0.000 4.158 0.000 0.000 0.000 4.522" Properties=species:S:1:pos:R:3 pbc="T T T"
Cs 0.000 0.000 0.000
Sc 2.079 2.079 0.000
B 0.000 2.079 2.261
B 2.079 0.000 2.261
H 0.000 0.000 2.261
```

Offset from the most stable computed form: 272 meV/atom
Space-group type: No. 123
Density: 4.26 g cm⁻³
Total moment: 0.00 μB per atom

22.
RbSrSe | GGA-PBE | optimized geometry

extended XYZ file:
```
6
Lattice="3.994 -2.305 0.000 3.994 2.305 0.000 -2.481 0.000 16.059" Properties=species:S:1:pos:R:3 pbc="T T T"
Rb -0.009 0.000 5.672
Rb 5.515 0.000 10.387
Sr 2.655 0.000 2.013
Sr 2.851 0.000 14.046
Se 0.190 0.000 12.570
Se 5.317 0.000 3.489
```

Formation energy without anion corrections: -1.17 eV per atom
Space-group type: No. 12
Density: 2.83 g cm⁻³
Total moment: 0.00 μB per atom

23.
As2SeBr | GGA-PBE | optimized geometry

extended XYZ file:
```
4
Lattice="5.196 0.000 0.000 0.000 3.786 0.000 -1.045 0.000 5.760" Properties=species:S:1:pos:R:3 pbc="T T T"
As 0.000 0.000 0.000
As 1.647 1.893 0.722
Se 3.786 0.000 1.853
Br 1.643 1.893 4.319
```

Formation energy without anion corrections: -0.04 eV per atom
Offset from the most stable computed form: 0 meV/atom
Space-group type: No. 6
Density: 4.52 g cm⁻³
Total moment: 0.00 μB per atom

24.
Nd2InRu | GGA-PBE | optimized geometry

extended XYZ file:
```
4
Lattice="1.976 1.141 8.502 -1.976 1.141 8.502 0.000 -2.282 8.502" Properties=species:S:1:pos:R:3 pbc="T T T"
Nd 0.000 0.000 5.932
Nd 0.000 0.000 19.575
In 0.000 0.000 0.000
Ru 0.000 0.000 12.754
```

Formation energy from the elements: -0.1322 eV per atom
Offset from the most stable computed form: 171 meV/atom
Space-group type: No. 166
Density: 7.28 g cm⁻³
Total moment: 0.00 μB per atom

25.
B3PPt | GGA-PBE | optimized geometry

extended XYZ file:
```
5
Lattice="3.870 0.000 0.000 0.000 3.870 0.000 0.000 0.000 3.870" Properties=species:S:1:pos:R:3 pbc="T T T"
B 0.000 0.000 1.935
B 0.000 1.935 0.000
B 1.935 0.000 0.000
P 0.000 0.000 0.000
Pt 1.935 1.935 1.935
```

Formation energy from the elements: 1.3930 eV per atom
Offset from the most stable computed form: 0 meV/atom
Space-group type: No. 221
Density: 7.40 g cm⁻³
Total moment: 0.00 μB per atom